No. 1
First-principles (PBEsol) data for a relaxed Sr3CaSn16 crystal, as listed in Alexandria via LeMat-Bulk.

Values from the calculation:
For the energy relative to the elements, the calculation gives -0.358 eV/atom.

The structure in CIF format:
```
data_Sr3CaSn16
_chemical_formula_sum 'Sr6 Ca2 Sn32'
_cell_length_a 4.651
_cell_length_b 13.861
_cell_length_c 17.093
_cell_angle_alpha 90.00
_cell_angle_beta 90.00
_cell_angle_gamma 90.00
_space_group_name_H-M_alt 'I m m 2'
_space_group_IT_number 44
loop_
_space_group_symop_operation_xyz
'x,y,z'
'-x,-y,z'
'-x,y,z'
'x,-y,z'
'x+1/2,y+1/2,z+1/2'
'-x+1/2,-y+1/2,z+1/2'
'-x+1/2,y+1/2,z+1/2'
'x+1/2,-y+1/2,z+1/2'
loop_
_atom_site_label
_atom_site_type_symbol
_atom_site_fract_x
_atom_site_fract_y
_atom_site_fract_z
Sr1 Sr 0.000 0.000 0.000
Sr2 Sr 0.000 0.250 0.778
Ca1 Ca 0.000 0.500 0.000
Sn1 Sn 0.000 0.000 0.797
Sn2 Sn 0.000 0.105 0.192
Sn3 Sn 0.000 0.120 0.390
Sn4 Sn 0.000 0.140 0.582
Sn5 Sn 0.000 0.253 0.980
Sn6 Sn 0.000 0.351 0.583
Sn7 Sn 0.000 0.376 0.389
Sn8 Sn 0.000 0.395 0.191
Sn9 Sn 0.000 0.500 0.798
```


No. 2
First-principles (PBEsol) data for a relaxed Ca4Sb2O crystal, as listed in Alexandria via LeMat-Bulk.

Values from the calculation:
The calculation puts the formation energy (no corrections) at -1.6685 eV per atom.

The structure in CIF format:
```
data_Ca4Sb2O
_chemical_formula_sum 'Ca8 Sb4 O2'
_cell_length_a 4.648
_cell_length_b 4.648
_cell_length_c 16.140
_cell_angle_alpha 90.00
_cell_angle_beta 90.00
_cell_angle_gamma 90.00
_space_group_name_H-M_alt 'I 4/m m m'
_space_group_IT_number 139
_space_group_name_Hall '-I 4 2'
loop_
_atom_site_label
_atom_site_type_symbol
_atom_site_fract_x
_atom_site_fract_y
_atom_site_fract_z
Ca1 Ca 0.000 0.000 0.165
Ca2 Ca 0.000 0.500 0.000
Sb1 Sb 0.000 0.000 0.360
O1 O 0.000 0.000 0.000
```


No. 3
First-principles (PBEsol) data for a relaxed CdAsIrSe2 crystal, as listed in Alexandria via LeMat-Bulk.

Values from the calculation:
The calculation puts the formation energy (no corrections) at 1.6493 eV per atom. The value obtained for the relative energy among the computed polymorphs is 1205 meV/atom.

The structure in CIF format:
```
data_CdAsIrSe2
_chemical_formula_sum 'Cd1 As1 Ir1 Se2'
_cell_length_a 4.951
_cell_length_b 4.951
_cell_length_c 4.890
_cell_angle_alpha 90.00
_cell_angle_beta 90.00
_cell_angle_gamma 90.00
_space_group_name_H-M_alt 'P 4/m m m'
_space_group_IT_number 123
_space_group_name_Hall '-P 4 2'
loop_
_atom_site_label
_atom_site_type_symbol
_atom_site_fract_x
_atom_site_fract_y
_atom_site_fract_z
Cd1 Cd 0.000 0.000 0.000
As1 As 0.000 0.000 0.500
Ir1 Ir 0.500 0.500 0.500
Se1 Se 0.000 0.500 0.000
```